[1]
! AcPrGa2Pd5 | the Alexandria database | GGA-PBE | optimized geometry; values from VASP
&SYSTEM
  ibrav = 0, nat = 9, ntyp = 4
/
ATOMIC_SPECIES
Pd 106.42 Pd.upf
Ac 227.00 Ac.upf
Pr 140.91 Pr.upf
Ga 69.72 Ga.upf
CELL_PARAMETERS angstrom
4.4046 0.0000 0.0000
0.0000 4.4046 0.0000
0.0000 0.0000 9.2681
ATOMIC_POSITIONS crystal
Pd 0.5000 0.0000 0.2686
Pd 0.0000 0.5000 0.2686
Pd 0.0000 0.5000 0.7314
Pd 0.5000 0.0000 0.7314
Pd 0.5000 0.5000 0.5000
Ac 0.0000 0.0000 0.5000
Pr 0.0000 0.0000 0.0000
Ga 0.5000 0.5000 0.1393
Ga 0.5000 0.5000 0.8607
! Electronic total energy (Ry/atom): -0.3901
! Total magnetic moment (μB per formula unit): 0.0
! Energy relative to the elements (eV/atom): -0.763


[2]
! Ac2PrGa3Pd4 | the Alexandria database | GGA-PBE | optimized geometry; values from VASP
&SYSTEM
  ibrav = 0, nat = 10, ntyp = 4
/
ATOMIC_SPECIES
Pd 106.42 Pd.upf
Ac 227.00 Ac.upf
Pr 140.91 Pr.upf
Ga 69.72 Ga.upf
CELL_PARAMETERS angstrom
4.5081 0.0000 0.0000
0.0000 4.5081 0.0000
0.0000 0.0000 11.2554
ATOMIC_POSITIONS crystal
Pd 0.0000 0.0000 0.0000
Pd 0.5000 0.5000 0.0000
Pd 0.5000 0.0000 0.6635
Pd 0.0000 0.5000 0.3365
Ac 0.5000 0.0000 0.2254
Ac 0.0000 0.5000 0.7746
Pr 0.5000 0.5000 0.5000
Ga 0.0000 0.5000 0.1103
Ga 0.5000 0.0000 0.8897
Ga 0.0000 0.0000 0.5000
! Electronic total energy (Ry/atom): -0.3717
! Total magnetic moment (μB per formula unit): 0.0
! Energy relative to the elements (eV/atom): -0.773


[3]
! AcGa2PdPt5 | the Alexandria database | GGA-PBE | optimized geometry; values from VASP
&SYSTEM
  ibrav = 0, nat = 9, ntyp = 4
/
ATOMIC_SPECIES
Pt 195.08 Pt.upf
Ga 69.72 Ga.upf
Pd 106.42 Pd.upf
Ac 227.00 Ac.upf
CELL_PARAMETERS angstrom
4.0939 0.0000 0.0000
0.0000 4.0939 0.0000
0.0000 0.0000 11.3115
ATOMIC_POSITIONS crystal
Pt 0.5000 0.0000 0.8456
Pt 0.5000 0.0000 0.1544
Pt 0.0000 0.5000 0.8456
Pt 0.5000 0.5000 0.5000
Pt 0.0000 0.5000 0.1544
Ga 0.5000 0.5000 0.2814
Ga 0.5000 0.5000 0.7186
Pd 0.0000 0.0000 0.0000
Ac 0.0000 0.0000 0.5000
! Electronic total energy (Ry/atom): -0.4030
! Total magnetic moment (μB per formula unit): 0.0
! Energy relative to the elements (eV/atom): -0.421


[4]
! Ac2Ga3Pd4Pt | the Alexandria database | GGA-PBE | optimized geometry; values from VASP
&SYSTEM
  ibrav = 0, nat = 10, ntyp = 4
/
ATOMIC_SPECIES
Pd 106.42 Pd.upf
Pt 195.08 Pt.upf
Ac 227.00 Ac.upf
Ga 69.72 Ga.upf
CELL_PARAMETERS angstrom
4.4365 0.0000 0.0000
0.0000 4.4365 0.0000
0.0000 0.0000 10.6127
ATOMIC_POSITIONS crystal
Pd 0.0000 0.0000 0.0000
Pd 0.5000 0.0000 0.6467
Pd 0.0000 0.5000 0.3533
Pd 0.5000 0.5000 0.0000
Pt 0.5000 0.5000 0.5000
Ac 0.5000 0.0000 0.2595
Ac 0.0000 0.5000 0.7405
Ga 0.0000 0.5000 0.1177
Ga 0.5000 0.0000 0.8823
Ga 0.0000 0.0000 0.5000
! Electronic total energy (Ry/atom): -0.3818
! Total magnetic moment (μB per formula unit): 0.0
! Energy relative to the elements (eV/atom): -0.784


[5]
! AcGa2PdPt2 | the Alexandria database | GGA-PBE | optimized geometry; values from VASP
&SYSTEM
  ibrav = 0, nat = 6, ntyp = 4
/
ATOMIC_SPECIES
Pt 195.08 Pt.upf
Ga 69.72 Ga.upf
Ac 227.00 Ac.upf
Pd 106.42 Pd.upf
CELL_PARAMETERS angstrom
-0.7684 2.1346 3.7722
-0.7467 -4.3297 -0.2704
6.6862 -1.2834 2.0883
ATOMIC_POSITIONS crystal
Pt 0.3333 0.6667 0.7114
Pt 0.6667 0.3333 0.2886
Ga 0.6667 0.3333 0.6604
Ga 0.3333 0.6667 0.3396
Ac 0.0000 0.0000 0.0000
Pd 0.0000 0.0000 0.5000
! Electronic total energy (Ry/atom): -0.4036
! Total magnetic moment (μB per formula unit): 0.0
! Energy relative to the elements (eV/atom): -0.918


[6]
! Ac2Ga3PdPt12 | the Alexandria database | GGA-PBE | optimized geometry; values from VASP
&SYSTEM
  ibrav = 0, nat = 18, ntyp = 4
/
ATOMIC_SPECIES
Ac 227.00 Ac.upf
Pt 195.08 Pt.upf
Ga 69.72 Ga.upf
Pd 106.42 Pd.upf
CELL_PARAMETERS angstrom
-7.7731 2.0148 -0.0249
-5.3152 -5.4582 2.5373
-3.5927 1.2434 7.0730
ATOMIC_POSITIONS crystal
Ac 0.6182 0.6182 0.6182
Ac 0.3818 0.3818 0.3818
Pt 0.3811 0.8693 0.8693
Pt 0.1307 0.1307 0.6189
Pt 0.3662 0.3662 0.8919
Pt 0.6338 0.6338 0.1081
Pt 0.6338 0.1081 0.6338
Pt 0.1307 0.6189 0.1307
Pt 0.8919 0.3662 0.3662
Pt 0.3662 0.8919 0.3662
Pt 0.6189 0.1307 0.1307
Pt 0.1081 0.6338 0.6338
Pt 0.8693 0.3811 0.8693
Pt 0.8693 0.8693 0.3811
Ga 0.0000 0.0000 0.5000
Ga 0.5000 0.0000 0.0000
Ga 0.0000 0.5000 0.0000
Pd 0.0000 0.0000 0.0000
! Electronic total energy (Ry/atom): -0.4101
! Total magnetic moment (μB per formula unit): 0.0
! Energy relative to the elements (eV/atom): -0.303


[7]
! Ac2GaPdPt6 | the Alexandria database | GGA-PBE | optimized geometry; values from VASP
&SYSTEM
  ibrav = 0, nat = 10, ntyp = 4
/
ATOMIC_SPECIES
Pt 195.08 Pt.upf
Ac 227.00 Ac.upf
Pd 106.42 Pd.upf
Ga 69.72 Ga.upf
CELL_PARAMETERS angstrom
-4.3783 -2.5504 -2.4552
0.4890 -6.5676 5.9542
-4.6407 -4.2645 6.2520
ATOMIC_POSITIONS crystal
Pt 0.7533 0.2464 0.9854
Pt 0.2605 0.2465 0.9855
Pt 0.7533 0.7392 0.4928
Pt 0.7395 0.7535 0.0145
Pt 0.2467 0.7536 0.0146
Pt 0.2467 0.2608 0.5072
Ac 0.7955 0.2047 0.4094
Ac 0.2045 0.7953 0.5906
Pd 0.5000 0.5000 0.0000
Ga 0.0000 0.0000 0.0000
! Electronic total energy (Ry/atom): -0.4392
! Total magnetic moment (μB per formula unit): 0.0
! Energy relative to the elements (eV/atom): -0.708


[8]
! Ac3Ga2Pd9Pt | the Alexandria database | GGA-PBE | optimized geometry; values from VASP
&SYSTEM
  ibrav = 0, nat = 15, ntyp = 4
/
ATOMIC_SPECIES
Pd 106.42 Pd.upf
Ac 227.00 Ac.upf
Pt 195.08 Pt.upf
Ga 69.72 Ga.upf
CELL_PARAMETERS angstrom
-0.7736 -1.7345 -5.5163
-0.5790 -3.8233 4.3684
-11.1552 2.5580 0.7602
ATOMIC_POSITIONS crystal
Pd 0.8362 0.1638 0.6853
Pd 0.1638 0.8362 0.3147
Pd 0.0000 0.5000 0.0000
Pd 0.1638 0.3276 0.3147
Pd 0.5000 0.0000 0.0000
Pd 0.6724 0.8362 0.3147
Pd 0.8362 0.6724 0.6853
Pd 0.5000 0.5000 0.0000
Pd 0.3276 0.1638 0.6853
Ac 0.0000 0.0000 0.0000
Ac 0.6667 0.3333 0.4083
Ac 0.3333 0.6667 0.5917
Pt 0.0000 0.0000 0.5000
Ga 0.6667 0.3333 0.8391
Ga 0.3333 0.6667 0.1609
! Electronic total energy (Ry/atom): -0.3940
! Total magnetic moment (μB per formula unit): 0.0
! Energy relative to the elements (eV/atom): -0.617


Q: What is the electronic total energy in the sixth record?
A: -0.4101 Ry/atom